# 1
PmZn2Au10, relaxed, DFT PBE-GGA; energy relative to the elements = -269 meV per atom; density = 15.09 g/cm3
1.0
0.0000 6.6754 6.7054
2.7596 0.0000 6.7054
2.7596 6.6754 0.0000
Pm Zn Au
1 2 10
Direct
0.0000 0.0000 0.0000 Pm
0.0000 0.5000 0.0000 Zn
0.5000 0.0000 0.5000 Zn
0.0000 0.0000 0.5000 Au
0.0122 0.3372 0.6628 Au
0.2837 0.4930 0.5070 Au
0.3372 0.0122 0.9878 Au
0.4930 0.2837 0.7163 Au
0.5000 0.5000 0.0000 Au
0.5070 0.7163 0.2837 Au
0.6628 0.9878 0.0122 Au
0.7163 0.5070 0.4930 Au
0.9878 0.6628 0.3372 Au

***

# 2
PmZn3Au3, relaxed, DFT PBE-GGA; energy relative to the elements = -371 meV per atom; ΔE to the lowest computed polymorph = 0 meV/atom; density = 11.47 g/cm3
1.0
8.4408 0.0000 0.0000
-4.2204 7.3100 0.0000
0.0000 0.0000 4.3726
Pm Zn Au
2 6 6
Direct
0.3333 0.6667 0.2500 Pm
0.6667 0.3333 0.7500 Pm
0.0089 0.7996 0.2500 Zn
0.2004 0.2093 0.2500 Zn
0.2093 0.0089 0.7500 Zn
0.7907 0.9911 0.2500 Zn
0.7996 0.7907 0.7500 Zn
0.9911 0.2004 0.7500 Zn
0.0571 0.6401 0.7500 Au
0.3599 0.4170 0.7500 Au
0.4170 0.0571 0.2500 Au
0.5830 0.9429 0.7500 Au
0.6401 0.5830 0.2500 Au
0.9429 0.3599 0.2500 Au